# 1
Material: CaPr3Sb3
Method: DFT, PBE
State: relaxed

abc: 8.366 8.366 8.366
angles: 68.14 68.14 68.14
Positions (direct):
Ca  0.168  0.168  0.168
Ca  0.832  0.832  0.832
Pr  0.144  0.406  0.688
Pr  0.312  0.856  0.594
Pr  0.406  0.688  0.144
Pr  0.594  0.312  0.856
Pr  0.688  0.144  0.406
Pr  0.856  0.594  0.312
Sb  0.037  0.796  0.428
Sb  0.204  0.572  0.963
Sb  0.428  0.037  0.796
Sb  0.572  0.963  0.204
Sb  0.796  0.428  0.037
Sb  0.963  0.204  0.572

Summary:
Formation energy (no corrections) in kJ/mol of atoms: -92
Offset from the most stable computed form in kJ/mol of atoms: 8.4
Crystal system: trigonal
DFT total energy in eV per atom: -5.06

# 2
Material: TbYIrRu
Method: DFT, PBE
State: relaxed

abc: 6.849 6.849 6.849
angles: 90.00 90.00 90.00
Positions (direct):
Tb  0.000  0.000  0.000
Tb  0.000  0.500  0.500
Tb  0.500  0.000  0.500
Tb  0.500  0.500  0.000
Y  0.000  0.000  0.500
Y  0.000  0.500  0.000
Y  0.500  0.000  0.000
Y  0.500  0.500  0.500
Ir  0.250  0.250  0.250
Ir  0.250  0.750  0.750
Ir  0.750  0.250  0.750
Ir  0.750  0.750  0.250
Ru  0.250  0.250  0.750
Ru  0.250  0.750  0.250
Ru  0.750  0.250  0.250
Ru  0.750  0.750  0.750

Summary:
Energy of formation in kJ per mole of atoms: -55
Offset from the most stable computed form in kJ/mol of atoms: 0.0
Crystal system: cubic
DFT total energy in eV per atom: -7.88

# 3
Material: AgHg6Pd5
Method: DFT, PBE
State: relaxed

abc: 6.515 6.515 5.526
angles: 97.98 97.98 94.25
Positions (direct):
Ag  0.000  0.000  0.000
Hg  0.086  0.424  0.254
Hg  0.256  0.256  0.751
Hg  0.424  0.086  0.254
Hg  0.576  0.914  0.746
Hg  0.744  0.744  0.249
Hg  0.914  0.576  0.746
Pd  0.160  0.840  0.500
Pd  0.329  0.671  0.000
Pd  0.500  0.500  0.500
Pd  0.671  0.329  0.000
Pd  0.840  0.160  0.500

Summary:
Energy of formation in kJ per mole of atoms: -7
Offset from the most stable computed form in kJ/mol of atoms: 4.5
Crystal system: monoclinic
DFT total energy in eV per atom: -2.62

# 4
Material: LiLa2
Method: DFT, PBE
State: relaxed

abc: 5.790 9.332 3.614
angles: 90.00 90.00 90.00
Positions (direct):
Li  0.000  0.000  0.000
Li  0.500  0.500  0.500
La  0.003  0.301  0.500
La  0.497  0.801  0.000
La  0.503  0.199  0.000
La  0.997  0.699  0.500

Summary:
Energy of formation in kJ per mole of atoms: 23
Offset from the most stable computed form in kJ/mol of atoms: 17.7
Crystal system: orthorhombic
DFT total energy in eV per atom: -3.68

# 5
Material: La2SiTc
Method: DFT, PBE
State: relaxed

abc: 4.945 4.945 7.045
angles: 90.00 90.00 90.00
Positions (direct):
La  0.000  0.000  0.000
La  0.000  0.500  0.250
La  0.500  0.000  0.750
La  0.500  0.500  0.500
Si  0.000  0.500  0.750
Si  0.500  0.000  0.250
Tc  0.000  0.000  0.500
Tc  0.500  0.500  0.000

Summary:
Formation energy (no corrections) in kJ/mol of atoms: 0
Crystal system: tetragonal
DFT total energy in eV per atom: -6.41

# 6
Material: CaNiIr2
Method: DFT, PBE
State: relaxed

abc: 4.470 4.470 17.016
angles: 90.00 90.00 90.00
Positions (direct):
Ca  0.000  0.000  0.000
Ca  0.000  0.500  0.250
Ca  0.500  0.000  0.750
Ca  0.500  0.500  0.500
Ni  0.000  0.000  0.500
Ni  0.000  0.500  0.750
Ni  0.500  0.000  0.250
Ni  0.500  0.500  0.000
Ir  0.100  0.250  0.625
Ir  0.250  0.600  0.875
Ir  0.250  0.900  0.375
Ir  0.400  0.250  0.125
Ir  0.600  0.750  0.125
Ir  0.750  0.100  0.375
Ir  0.750  0.400  0.875
Ir  0.900  0.750  0.625

Summary:
Energy of formation in kJ per mole of atoms: 25
Offset from the most stable computed form in kJ/mol of atoms: 23.9
Crystal system: tetragonal
DFT total energy in eV per atom: -6.11

# 7
Material: CaGdPd2
Method: DFT, PBE
State: relaxed

abc: 7.052 7.052 7.052
angles: 90.00 90.00 90.00
Positions (direct):
Ca  0.000  0.000  0.000
Ca  0.000  0.500  0.500
Ca  0.500  0.000  0.500
Ca  0.500  0.500  0.000
Gd  0.000  0.000  0.500
Gd  0.000  0.500  0.000
Gd  0.500  0.000  0.000
Gd  0.500  0.500  0.500
Pd  0.250  0.250  0.250
Pd  0.250  0.250  0.750
Pd  0.250  0.750  0.250
Pd  0.250  0.750  0.750
Pd  0.750  0.250  0.250
Pd  0.750  0.250  0.750
Pd  0.750  0.750  0.250
Pd  0.750  0.750  0.750

Summary:
Energy of formation in kJ per mole of atoms: -73
Offset from the most stable computed form in kJ/mol of atoms: 3.1
Crystal system: cubic
DFT total energy in eV per atom: -7.38

# 8
Material: Zn2WCl
Method: DFT, PBE
State: relaxed

abc: 2.882 2.882 7.983
angles: 90.00 90.00 90.00
Positions (direct):
Zn  0.000  0.000  0.240
Zn  0.000  0.000  0.760
W  0.500  0.500  0.000
Cl  0.500  0.500  0.500

Summary:
Formation energy (no corrections) in kJ/mol of atoms: 25
Offset from the most stable computed form in kJ/mol of atoms: 9.9
Crystal system: tetragonal
DFT total energy in eV per atom: -4.08

# 9
Material: La3DySb2
Method: DFT, PBE
State: relaxed

abc: 10.096 10.096 10.096
angles: 141.93 54.75 142.17
Positions (direct):
La  0.177  0.248  0.426
La  0.250  0.250  0.000
La  0.323  0.748  0.071
La  0.677  0.252  0.929
La  0.750  0.750  0.000
La  0.823  0.752  0.574
Dy  0.250  0.750  0.500
Dy  0.750  0.250  0.500
Sb  0.137  0.743  0.880
Sb  0.363  0.243  0.606
Sb  0.637  0.757  0.394
Sb  0.863  0.257  0.120

Summary:
Formation energy (no corrections) in kJ/mol of atoms: -83
Offset from the most stable computed form in kJ/mol of atoms: 1.4
Crystal system: orthorhombic
DFT total energy in eV per atom: -5.47

# 10
Material: LiCrTcRh
Method: DFT, PBE
State: relaxed

abc: 5.875 5.875 5.875
angles: 90.00 90.00 90.00
Positions (direct):
Li  0.000  0.000  0.000
Li  0.000  0.500  0.500
Li  0.500  0.000  0.500
Li  0.500  0.500  0.000
Cr  0.000  0.000  0.500
Cr  0.000  0.500  0.000
Cr  0.500  0.000  0.000
Cr  0.500  0.500  0.500
Tc  0.250  0.250  0.250
Tc  0.250  0.750  0.750
Tc  0.750  0.250  0.750
Tc  0.750  0.750  0.250
Rh  0.250  0.250  0.750
Rh  0.250  0.750  0.250
Rh  0.750  0.250  0.250
Rh  0.750  0.750  0.750

Summary:
Energy of formation in kJ per mole of atoms: 5
Crystal system: cubic
DFT total energy in eV per atom: -7.26

# 11
Material: Ac6La3PrHo2
Method: DFT, PBE
State: relaxed

abc: 6.683 6.683 12.504
angles: 95.12 95.12 120.07
Positions (direct):
Ac  0.083  0.418  0.756
Ac  0.247  0.247  0.244
Ac  0.418  0.083  0.756
Ac  0.582  0.917  0.244
Ac  0.753  0.753  0.756
Ac  0.917  0.582  0.244
La  0.000  0.000  0.500
La  0.333  0.667  0.500
La  0.667  0.333  0.500
Pr  0.500  0.500  0.000
Ho  0.167  0.833  0.000
Ho  0.833  0.167  0.000

Summary:
Energy of formation in kJ per mole of atoms: 3
Crystal system: monoclinic
DFT total energy in eV per atom: -4.41

# 12
Material: GaTeIN2
Method: DFT, PBE
State: relaxed

abc: 4.232 4.232 6.042
angles: 90.00 90.00 90.00
Positions (direct):
Ga  0.000  0.000  0.000
Te  0.000  0.000  0.500
I  0.500  0.500  0.500
N  0.000  0.500  0.000
N  0.500  0.000  0.000

Summary:
Formation energy (no corrections) in kJ/mol of atoms: 130
Offset from the most stable computed form in kJ/mol of atoms: 10.5
Crystal system: tetragonal
DFT total energy in eV per atom: -3.52